1.
Entry from the Alexandria database: TiCo2Ru2 after structural relaxation (PBE-GGA).

POSCAR file:
```
TiCo2Ru2
1.0
7.0885 0.0000 0.0000
0.0000 7.0885 0.0000
0.0000 0.0000 2.6774
Ti Co Ru
2 4 4
Direct
0.0000 0.0000 0.0000 Ti
0.5000 0.5000 0.0000 Ti
0.1707 0.3293 0.5000 Co
0.3293 0.8293 0.5000 Co
0.6707 0.1707 0.5000 Co
0.8293 0.6707 0.5000 Co
0.1277 0.6277 0.0000 Ru
0.3723 0.1277 0.0000 Ru
0.6277 0.8723 0.0000 Ru
0.8723 0.3723 0.0000 Ru
```

Summary:
DOS(E_F) ... 1.5495 states/eV/atom
Size of the total moment ... 1.69 μB/f.u.
SG ... P4/mbm
DFT formation energy ... 0.0843 eV/atom

=====

2.
Entry from the Alexandria database: Nd8Hg2Pt3 after structural relaxation (PBE-GGA).

POSCAR file:
```
Nd8Hg2Pt3
1.0
9.0365 0.0000 0.0000
0.0000 5.1029 0.0000
-3.0942 0.0000 8.5202
Nd Hg Pt
8 2 3
Direct
0.1152 0.0000 0.3834 Nd
0.1276 0.5000 0.8622 Nd
0.3612 0.5000 0.6263 Nd
0.3824 0.0000 0.1185 Nd
0.6176 0.0000 0.8815 Nd
0.6388 0.5000 0.3737 Nd
0.8724 0.5000 0.1378 Nd
0.8848 0.0000 0.6166 Nd
0.2565 0.5000 0.2426 Hg
0.7435 0.5000 0.7574 Hg
0.0000 0.5000 0.5000 Pt
0.2657 0.0000 0.7662 Pt
0.7343 0.0000 0.2338 Pt
```

Summary:
DOS(E_F) ... 1.1609 states/eV/atom
Size of the total moment ... 0.00 μB/f.u.
SG ... P2/m
DFT formation energy ... -0.5630 eV/atom

=====

3.
Entry from the Alexandria database: BTeW3 after structural relaxation (PBE-GGA).

POSCAR file:
```
BTeW3
1.0
4.2998 0.0000 0.0000
0.0000 4.2998 0.0000
0.0000 0.0000 4.2998
B Te W
1 1 3
Direct
0.0000 0.0000 0.0000 B
0.5000 0.5000 0.5000 Te
0.0000 0.0000 0.5000 W
0.0000 0.5000 0.0000 W
0.5000 0.0000 0.0000 W
```

Summary:
Energy above the lowest structure with this stoichiometry ... 0 meV per atom
DOS(E_F) ... 1.3412 states/eV/atom
Size of the total moment ... 0.00 μB/f.u.
E_form (uncorrected) ... 3.78 eV per formula unit
SG ... Pm-3m

=====

4.
Entry from the Alexandria database: BaLi3Pb after structural relaxation (PBE-GGA).

POSCAR file:
```
BaLi3Pb
1.0
5.3290 0.0000 0.0000
0.0000 5.3290 0.0000
0.0000 0.0000 5.3290
Ba Li Pb
1 3 1
Direct
0.0000 0.0000 0.0000 Ba
0.0000 0.5000 0.5000 Li
0.5000 0.0000 0.5000 Li
0.5000 0.5000 0.0000 Li
0.5000 0.5000 0.5000 Pb
```

Summary:
Energy above the lowest structure with this stoichiometry ... 56 meV per atom
DOS(E_F) ... 0.6069 states/eV/atom
Size of the total moment ... 0.00 μB/f.u.
SG ... Pm-3m
DFT formation energy ... -0.1918 eV/atom

=====

5.
Entry from the Alexandria database: Nd2TmPu after structural relaxation (PBE-GGA).

POSCAR file:
```
Nd2TmPu
1.0
1.7948 1.0363 11.5363
-1.7948 1.0363 11.5363
0.0000 -2.0725 11.5363
Nd Tm Pu
2 1 1
Direct
0.0000 0.0000 0.0000 Nd
0.1673 0.1673 0.1673 Nd
0.4170 0.4170 0.4170 Tm
0.5839 0.5839 0.5839 Pu
```

Summary:
Energy above the lowest structure with this stoichiometry ... 10 meV per atom
DOS(E_F) ... 2.9242 states/eV/atom
Size of the total moment ... 6.08 μB/f.u.
SG ... R3m
DFT formation energy ... 0.1245 eV/atom

=====

6.
Entry from the Alexandria database: CaPmSn after structural relaxation (PBE-GGA).

POSCAR file:
```
CaPmSn
1.0
5.2850 0.0000 0.0000
-2.6425 4.5770 0.0000
0.0000 0.0000 3.8145
Ca Pm Sn
1 1 1
Direct
0.0000 0.0000 0.0000 Ca
0.6667 0.3333 0.5551 Pm
0.3333 0.6667 0.2378 Sn
```

Summary:
Energy above the lowest structure with this stoichiometry ... 193 meV per atom
DOS(E_F) ... 1.2403 states/eV/atom
Size of the total moment ... 0.00 μB/f.u.
SG ... P3m1
DFT formation energy ... -0.3833 eV/atom